# 1
DFT (PBE) results for Li4Ho3Pt4 after structural relaxation.

Unit cell a=8.1087 b=8.1087 c=8.1087 alpha=151.85 beta=125.27 gamma=62.67
With the nearest neighbours (Å) after each atom.
Fractional positions:
1 Li 0.0166 0.8239 0.1927  4 Pt 2.53-2.68
2 Li 0.3688 0.1761 0.1927  4 Pt 2.53-2.68
3 Li 0.6312 0.8239 0.8073  4 Pt 2.53-2.68
4 Li 0.9834 0.1761 0.8073  4 Pt 2.53-2.68
5 Ho 0.0000 0.5000 0.5000  6 Pt 3.00-3.10
6 Ho 0.3770 0.3770 0.0000  6 Pt 2.90-2.99, 6 Li 3.11-3.13
7 Ho 0.6230 0.6230 0.0000  6 Pt 2.90-2.99, 6 Li 3.11-3.13
8 Pt 0.2240 0.7240 0.5000  6 Li 2.53-2.68
9 Pt 0.3033 0.0000 0.3033  2 Li 2.58
10 Pt 0.6967 0.0000 0.6967  2 Li 2.58
11 Pt 0.7760 0.2760 0.5000  6 Li 2.53-2.68

Computed properties:
- formation energy from the elements (meV/atom) = -820
- crystal system = orthorhombic
- SG = Immm



# 2
DFT (PBE) results for Eu2TeI after structural relaxation.

Unit cell a=7.9616 b=7.9616 c=7.9616 alpha=33.98 beta=33.98 gamma=33.98
With the nearest neighbours (Å) after each atom.
Fractional positions:
1 Eu 0.2433 0.2433 0.2433  3 Te 3.19, 3 I 3.36
2 Eu 0.7567 0.7567 0.7567  3 Te 3.19, 3 I 3.36
3 Te 0.5000 0.5000 0.5000  6 Eu 3.19
4 I 0.0000 0.0000 0.0000  6 Eu 3.36

Computed properties:
- excess energy over the best structure of this formula in the dataset (eV per atom) = 0.000
- crystal system = trigonal
- SG = R-3m



# 3
DFT (PBE) results for LaTbSm2Mg after structural relaxation.

Unit cell a=6.2656 b=5.6947 c=9.5126 alpha=90.00 beta=108.85 gamma=90.00
With the nearest neighbours (Å) after each atom.
Fractional positions:
1 La 0.0347 0.2500 0.3900  1 Tb 3.48, 6 Sm 3.52-3.78, 3 Mg 3.53-3.79, 2 La 3.64
2 La 0.9653 0.7500 0.6100  1 Tb 3.48, 6 Sm 3.52-3.78, 3 Mg 3.53-3.79, 2 La 3.64
3 Tb 0.1597 0.7500 0.9970  4 Mg 3.46-3.66, 1 La 3.48, 2 Tb 3.49, 5 Sm 3.53-3.68
4 Tb 0.8403 0.2500 0.0030  4 Mg 3.46-3.66, 1 La 3.48, 2 Tb 3.49, 5 Sm 3.53-3.68
5 Sm 0.3743 0.7500 0.3919  5 Sm 3.50-3.68, 4 La 3.55-3.78, 1 Tb 3.56, 2 Mg 3.58-3.66
6 Sm 0.4508 0.2500 0.2002  3 Mg 3.49-3.51, 3 Sm 3.50-3.68, 2 La 3.52-3.62, 4 Tb 3.53-3.68
7 Sm 0.5492 0.7500 0.7998  3 Mg 3.49-3.51, 3 Sm 3.50-3.68, 2 La 3.52-3.62, 4 Tb 3.53-3.68
8 Sm 0.6257 0.2500 0.6081  5 Sm 3.50-3.68, 4 La 3.55-3.78, 1 Tb 3.56, 2 Mg 3.58-3.66
9 Mg 0.2322 0.2500 0.8105  4 Tb 3.46-3.66, 5 Sm 3.49-3.66, 3 La 3.53-3.79
10 Mg 0.7678 0.7500 0.1895  4 Tb 3.46-3.66, 5 Sm 3.49-3.66, 3 La 3.53-3.79

Computed properties:
- formation energy from the elements (meV/atom) = 18
- crystal system = monoclinic
- SG = P2_1/m



# 4
DFT (PBE) results for Ca2MgAl2Cu5 after structural relaxation.

Unit cell a=10.1802 b=10.1802 c=3.4516 alpha=90.00 beta=90.00 gamma=90.00
With the nearest neighbours (Å) after each atom.
Fractional positions:
1 Ca 0.1776 0.3224 0.0000  3 Al 2.92-3.08, 10 Cu 3.08-3.22
2 Ca 0.3224 0.8224 0.0000  3 Al 2.92-3.08, 10 Cu 3.08-3.22
3 Ca 0.6776 0.1776 0.0000  3 Al 2.92-3.08, 10 Cu 3.08-3.22
4 Ca 0.8224 0.6776 0.0000  3 Al 2.92-3.08, 10 Cu 3.08-3.22
5 Mg 0.0000 0.0000 0.0000  8 Cu 2.78
6 Mg 0.5000 0.5000 0.0000  8 Cu 2.78
7 Al 0.1198 0.6198 0.0000  6 Cu 2.44-2.56
8 Al 0.3802 0.1198 0.0000  6 Cu 2.44-2.56
9 Al 0.6198 0.8802 0.0000  6 Cu 2.44-2.56
10 Al 0.8802 0.3802 0.0000  6 Cu 2.44-2.56
11 Cu 0.0000 0.5000 0.5000  4 Al 2.44
12 Cu 0.0566 0.7940 0.5000  2 Al 2.56, 2 Mg 2.78
13 Cu 0.2060 0.0566 0.5000  2 Al 2.56, 2 Mg 2.78
14 Cu 0.2940 0.5566 0.5000  2 Al 2.56, 2 Mg 2.78
15 Cu 0.4434 0.2940 0.5000  2 Al 2.56, 2 Mg 2.78
16 Cu 0.5000 0.0000 0.5000  4 Al 2.44
17 Cu 0.5566 0.7060 0.5000  2 Al 2.56, 2 Mg 2.78
18 Cu 0.7060 0.4434 0.5000  2 Al 2.56, 2 Mg 2.78
19 Cu 0.7940 0.9434 0.5000  2 Al 2.56, 2 Mg 2.78
20 Cu 0.9434 0.2060 0.5000  2 Al 2.56, 2 Mg 2.78

Computed properties:
- formation energy from the elements (meV/atom) = -87
- crystal system = tetragonal
- SG = P4/mbm



# 5
DFT (PBE) results for Pm4Sm4Sc after structural relaxation.

Unit cell a=8.0511 b=8.0511 c=8.0511 alpha=95.73 beta=95.73 gamma=143.18
With the nearest neighbours (Å) after each atom.
Fractional positions:
1 Pm 0.0000 0.3304 0.3304  1 Sc 3.57, 6 Sm 3.58-3.63, 5 Pm 3.63-3.66
2 Pm 0.0000 0.6696 0.6696  1 Sc 3.57, 6 Sm 3.58-3.63, 5 Pm 3.63-3.66
3 Pm 0.3304 0.0000 0.3304  1 Sc 3.57, 6 Sm 3.58-3.63, 5 Pm 3.63-3.66
4 Pm 0.6696 0.0000 0.6696  1 Sc 3.57, 6 Sm 3.58-3.63, 5 Pm 3.63-3.66
5 Sm 0.3361 0.3361 0.6722  4 Sm 3.54-3.66, 2 Sc 3.57, 6 Pm 3.58-3.63
6 Sm 0.3361 0.6639 0.0000  4 Sm 3.54-3.66, 2 Sc 3.57, 6 Pm 3.58-3.63
7 Sm 0.6639 0.3361 0.0000  4 Sm 3.54-3.66, 2 Sc 3.57, 6 Pm 3.58-3.63
8 Sm 0.6639 0.6639 0.3278  4 Sm 3.54-3.66, 2 Sc 3.57, 6 Pm 3.58-3.63
9 Sc 0.0000 0.0000 0.0000  8 Sm 3.57, 4 Pm 3.57

Computed properties:
- formation energy from the elements (meV/atom) = 30
- crystal system = tetragonal
- SG = I4/mmm



# 6
DFT (PBE) results for KScMnW2 after structural relaxation.

Unit cell a=4.7994 b=4.7994 c=5.4040 alpha=90.00 beta=90.00 gamma=90.00
With the nearest neighbours (Å) after each atom.
Fractional positions:
1 K 0.0000 0.0000 0.0000  4 Mn 3.39, 8 W 3.61
2 Sc 0.5000 0.5000 0.5000  4 W 2.40
3 Mn 0.5000 0.5000 0.0000  2 Sc 2.70
4 W 0.0000 0.5000 0.5000  2 Sc 2.40
5 W 0.5000 0.0000 0.5000  2 Sc 2.40

Computed properties:
- formation energy from the elements (meV/atom) = 2219
- crystal system = tetragonal
- SG = P4/mmm



# 7
DFT (PBE) results for CaNd2DyBi4 after structural relaxation.

Unit cell a=7.9070 b=4.5647 c=7.9774 alpha=90.00 beta=109.35 gamma=90.00
With the nearest neighbours (Å) after each atom.
Fractional positions:
1 Ca 0.0000 0.0000 0.0000  6 Bi 3.24
2 Nd 0.5000 0.0000 0.5000  6 Bi 3.24-3.25
3 Nd 0.5000 0.5000 0.0000  6 Bi 3.28
4 Dy 0.0000 0.5000 0.5000  6 Bi 3.20
5 Bi 0.2435 0.0000 0.7444  2 Dy 3.20, 1 Ca 3.24, 3 Nd 3.25-3.28
6 Bi 0.2468 0.5000 0.2532  1 Dy 3.20, 3 Nd 3.24-3.28, 2 Ca 3.24
7 Bi 0.7532 0.5000 0.7468  1 Dy 3.20, 3 Nd 3.24-3.28, 2 Ca 3.24
8 Bi 0.7565 0.0000 0.2556  2 Dy 3.20, 1 Ca 3.24, 3 Nd 3.25-3.28

Computed properties:
- formation energy from the elements (meV/atom) = -840
- crystal system = monoclinic
- SG = P2/m



# 8
DFT (PBE) results for Li7Cd3Hg2 after structural relaxation.

Unit cell a=4.7804 b=3.1662 c=15.7220 alpha=90.00 beta=98.09 gamma=90.00
With the nearest neighbours (Å) after each atom.
Fractional positions:
1 Li 0.0000 0.0000 0.0000  4 Cd 2.87, 2 Li 3.17
2 Li 0.0985 0.5000 0.1905  2 Hg 2.80, 4 Li 2.96
3 Li 0.2695 0.5000 0.5411  2 Li 2.71-2.72, 1 Hg 2.72, 2 Cd 3.02
4 Li 0.4228 0.0000 0.8562  2 Hg 2.69, 2 Cd 2.74, 4 Li 2.96
5 Li 0.5772 0.0000 0.1438  2 Hg 2.69, 2 Cd 2.74, 4 Li 2.96
6 Li 0.7305 0.5000 0.4589  2 Li 2.71-2.72, 1 Hg 2.72, 2 Cd 3.02
7 Li 0.9015 0.5000 0.8095  2 Hg 2.80, 4 Li 2.96
8 Cd 0.1877 0.0000 0.3760  8 Li 3.02-3.29, 2 Cd 3.17, 4 Hg 3.20-3.22
9 Cd 0.5000 0.5000 0.0000  8 Li 2.74-2.87
10 Cd 0.8123 0.0000 0.6240  8 Li 3.02-3.29, 2 Cd 3.17, 4 Hg 3.20-3.22
11 Hg 0.3578 0.5000 0.7161  5 Li 2.69-2.80
12 Hg 0.6422 0.5000 0.2839  5 Li 2.69-2.80

Computed properties:
- formation energy from the elements (meV/atom) = -177
- excess energy over the best structure of this formula in the dataset (eV per atom) = 0.000
- crystal system = monoclinic
- SG = P2/m



# 9
DFT (PBE) results for KScIn2 after structural relaxation.

Unit cell a=3.3632 b=4.7919 c=7.7934 alpha=90.00 beta=90.00 gamma=90.00
With the nearest neighbours (Å) after each atom.
Fractional positions:
1 K 0.0000 0.0000 0.0000  2 K 3.36, 5 In 3.62-3.69
2 Sc 0.5000 0.5000 0.3512  5 In 2.93-3.08
3 In 0.0000 0.0000 0.4734  4 Sc 3.08, 2 In 3.36
4 In 0.5000 0.5000 0.7273  1 Sc 2.93

Computed properties:
- formation energy from the elements (meV/atom) = 60
- excess energy over the best structure of this formula in the dataset (eV per atom) = 0.257
- crystal system = orthorhombic
- SG = Pmm2



# 10
DFT (PBE) results for HoTmAlFe after structural relaxation.

Unit cell a=4.9196 b=4.9196 c=4.9196 alpha=60.00 beta=60.00 gamma=60.00
With the nearest neighbours (Å) after each atom.
Fractional positions:
1 Ho 0.0000 0.0000 0.0000  4 Fe 3.01, 4 Al 3.01
2 Tm 0.5000 0.5000 0.5000  4 Fe 3.01, 4 Al 3.01
3 Al 0.7500 0.7500 0.7500  4 Ho 3.01, 4 Tm 3.01
4 Fe 0.2500 0.2500 0.2500  4 Ho 3.01, 4 Tm 3.01

Computed properties:
- formation energy from the elements (meV/atom) = -97
- crystal system = cubic
- SG = F-43m



# 11
DFT (PBE) results for LiTaO2 after structural relaxation.

Unit cell a=5.6885 b=5.6885 c=5.6885 alpha=29.31 beta=29.31 gamma=29.31
With the nearest neighbours (Å) after each atom.
Fractional positions:
1 Li 0.0000 0.0000 0.0000  6 O 2.11
2 Ta 0.5000 0.5000 0.5000  6 O 2.18
3 O 0.2533 0.2533 0.2533  3 Li 2.11, 3 Ta 2.18
4 O 0.7467 0.7467 0.7467  3 Li 2.11, 3 Ta 2.18

Computed properties:
- crystal system = trigonal
- SG = R-3m
- DFT total energy (Ry per atom) = -0.59278



# 12
DFT (PBE) results for KAlAs2O8 after structural relaxation.

Unit cell a=5.1928 b=5.1928 c=7.6855 alpha=90.00 beta=90.00 gamma=120.00
With the nearest neighbours (Å) after each atom.
Fractional positions:
1 K 0.0000 0.0000 0.0000  12 O 3.05-3.12
2 Al 0.0000 0.0000 0.5000  6 O 1.90
3 As 0.3333 0.6667 0.7045  4 O 1.71-1.73
4 As 0.6667 0.3333 0.2955  4 O 1.71-1.73
5 O 0.0575 0.3187 0.6460  1 As 1.71, 1 Al 1.90
6 O 0.2613 0.9425 0.6460  1 As 1.71, 1 Al 1.90
7 O 0.3187 0.2613 0.3540  1 As 1.71, 1 Al 1.90
8 O 0.3333 0.6667 0.9296  1 As 1.73
9 O 0.6667 0.3333 0.0704  1 As 1.73
10 O 0.6813 0.7387 0.6460  1 As 1.71, 1 Al 1.90
11 O 0.7387 0.0575 0.3540  1 As 1.71, 1 Al 1.90
12 O 0.9425 0.6813 0.3540  1 As 1.71, 1 Al 1.90

Computed properties:
- crystal system = trigonal
- SG = P-3
- DFT total energy (Ry per atom) = -0.43422



# 13
DFT (PBE) results for CaLaY2Bi4 after structural relaxation.

Unit cell a=7.8728 b=4.5564 c=8.0118 alpha=90.00 beta=109.18 gamma=90.00
With the nearest neighbours (Å) after each atom.
Fractional positions:
1 Ca 0.0000 0.0000 0.0000  6 Bi 3.28
2 La 0.5000 0.5000 0.0000  6 Bi 3.30
3 Y 0.0000 0.5000 0.5000  6 Bi 3.18
4 Y 0.5000 0.0000 0.5000  6 Bi 3.19-3.20
5 Bi 0.2441 0.0000 0.7380  3 Y 3.18-3.20, 1 Ca 3.28, 2 La 3.30
6 Bi 0.2524 0.5000 0.2613  3 Y 3.18-3.19, 2 Ca 3.28, 1 La 3.30
7 Bi 0.7476 0.5000 0.7387  3 Y 3.18-3.19, 2 Ca 3.28, 1 La 3.30
8 Bi 0.7559 0.0000 0.2620  3 Y 3.18-3.20, 1 Ca 3.28, 2 La 3.30

Computed properties:
- formation energy from the elements (meV/atom) = -869
- crystal system = monoclinic
- SG = P2/m



# 14
DFT (PBE) results for La5Tb2Ho5 after structural relaxation.

Unit cell a=8.1399 b=8.1399 c=11.4439 alpha=115.32 beta=115.32 gamma=36.65
With the nearest neighbours (Å) after each atom.
Fractional positions:
1 La 0.0000 0.0000 0.0000  4 La 3.62, 8 Ho 3.64
2 La 0.0809 0.0809 0.7486  2 Tb 3.59-3.65, 7 Ho 3.61-3.65, 3 La 3.62-3.67
3 La 0.2485 0.2485 0.2515  3 Tb 3.59-3.61, 6 Ho 3.61-3.65, 3 La 3.62-3.67
4 La 0.7515 0.7515 0.7485  3 Tb 3.59-3.61, 6 Ho 3.61-3.65, 3 La 3.62-3.67
5 La 0.9191 0.9191 0.2514  2 Tb 3.59-3.65, 7 Ho 3.61-3.65, 3 La 3.62-3.67
6 Tb 0.1666 0.1666 0.4991  5 Ho 3.58-3.63, 5 La 3.59-3.65, 2 Tb 3.62
7 Tb 0.8334 0.8334 0.5009  5 Ho 3.58-3.63, 5 La 3.59-3.65, 2 Tb 3.62
8 Ho 0.3327 0.3327 0.0000  4 Ho 3.62-3.66, 8 La 3.63-3.65
9 Ho 0.4152 0.4152 0.7465  3 Tb 3.58-3.60, 6 La 3.61-3.64, 3 Ho 3.61-3.66
10 Ho 0.5000 0.5000 0.5000  6 La 3.61-3.64, 2 Ho 3.61, 4 Tb 3.63
11 Ho 0.5848 0.5848 0.2535  3 Tb 3.58-3.60, 6 La 3.61-3.64, 3 Ho 3.61-3.66
12 Ho 0.6673 0.6673 0.0000  4 Ho 3.62-3.66, 8 La 3.63-3.65

Computed properties:
- formation energy from the elements (meV/atom) = 29
- crystal system = monoclinic
- SG = C2/m



# 15
DFT (PBE) results for SrAgRu2 after structural relaxation.

Unit cell a=4.7592 b=4.7592 c=4.7592 alpha=120.13 beta=120.13 gamma=89.78
With the nearest neighbours (Å) after each atom.
Fractional positions:
1 Sr 0.0000 0.0000 0.0000  4 Ru 2.91, 4 Ag 2.91
2 Ag 0.2500 0.7500 0.5000  4 Ru 2.91, 4 Sr 2.91
3 Ru 0.5000 0.5000 0.0000  4 Ru 2.91, 4 Ag 2.91
4 Ru 0.7500 0.2500 0.5000  4 Ru 2.91, 4 Sr 2.91

Computed properties:
- formation energy from the elements (meV/atom) = 704
- excess energy over the best structure of this formula in the dataset (eV per atom) = 0.451
- crystal system = tetragonal
- SG = I-4m2



# 16
DFT (PBE) results for Pm2Sn4Pd after structural relaxation.

Unit cell a=4.5722 b=4.5722 c=8.9751 alpha=90.00 beta=90.00 gamma=90.00
With the nearest neighbours (Å) after each atom.
Fractional positions:
1 Pm 0.0000 0.5000 0.2150  2 Pd 2.99, 4 Sn 3.25
2 Pm 0.5000 0.0000 0.7850  2 Pd 2.99, 4 Sn 3.25
3 Sn 0.0000 0.0000 0.5000  4 Sn 3.23, 4 Pm 3.43
4 Sn 0.0000 0.5000 0.8261  2 Pd 2.77
5 Sn 0.5000 0.0000 0.1739  2 Pd 2.77
6 Sn 0.5000 0.5000 0.5000  4 Sn 3.23, 4 Pm 3.43
7 Pd 0.5000 0.5000 0.0000  4 Sn 2.77, 4 Pm 2.99

Computed properties:
- formation energy from the elements (meV/atom) = -567
- crystal system = tetragonal
- SG = P-4m2